Record 1
Density functional theory data (PBE) for a relaxed AcPmCdCo crystal.

Geometry as extended XYZ:
```
4
Lattice="5.350 0.000 0.000 2.675 4.633 0.000 2.675 1.544 4.368" Properties=species:S:1:pos:R:3 pbc="T T T"
Ac 5.350 3.089 2.184
Cd 8.025 4.633 3.276
Co 2.675 1.544 1.092
Pm 0.000 0.000 0.000
```

The calculation puts the formation energy at 0.02 eV/atom. The calculation puts the total energy at -4.2015 eV/atom. As for the crystal system: cubic.

=====

Record 2
Density functional theory data (PBE) for a relaxed AcPrCdCo crystal.

Geometry as extended XYZ:
```
4
Lattice="-1.445 4.967 -1.504 -4.951 1.814 1.101 -0.697 3.842 3.711" Properties=species:S:1:pos:R:3 pbc="T T T"
Pr 0.000 0.000 0.000
Ac -3.547 5.312 1.654
Co -5.320 7.968 2.482
Cd -1.773 2.656 0.827
```

The calculation puts the formation energy at 0.03 eV/atom. The calculation puts the total energy at -4.2013 eV/atom. As for the crystal system: cubic.

=====

Among the records above, which one has the highest formation energy? AcPrCdCo